Record 1
# La6TbY5 PBE relaxed
data_La6TbY5
_chemical_formula_sum 'La12 Tb2 Y10'
_space_group_name_H-M_alt 'C 1 2/m 1'
_space_group_IT_number 12
_cell_length_a 17.9255
_cell_length_b 7.4404
_cell_length_c 6.2359
_cell_angle_alpha 90.00
_cell_angle_beta 92.68
_cell_angle_gamma 90.00
loop_
_space_group_symop_operation_xyz
'x,y,z'
'-x,-y,-z'
'-x,y,-z'
'x,-y,z'
'x+1/2,y+1/2,z'
'-x+1/2,-y+1/2,-z'
'-x+1/2,y+1/2,-z'
'x+1/2,-y+1/2,z'
loop_
_atom_site_label
_atom_site_fract_x
_atom_site_fract_y
_atom_site_fract_z
La1 0.0000 0.2479 0.0000
La2 0.1663 0.2490 0.6668
Tb1 0.0000 0.0000 0.5000
Y1 0.0000 0.5000 0.5000
Y2 0.1669 0.0000 0.1676
Y3 0.1666 0.5000 0.1666
# - Fermi-level density of states (states/eV per cell) = 38.00
# - crystal system = monoclinic
# - energy relative to the elements (eV/atom) = 0.022
# - calculated volume (Å³/atom) = 34.6
# - magnetization (μB/f.u.) = 0.000


Record 2
# La3Tb2Y3 PBE relaxed
data_La3Tb2Y3
_chemical_formula_sum 'La6 Tb4 Y6'
_space_group_name_H-M_alt 'C 1 2/m 1'
_space_group_IT_number 12
_cell_length_a 16.6334
_cell_length_b 5.9243
_cell_length_c 5.9442
_cell_angle_alpha 90.00
_cell_angle_beta 110.90
_cell_angle_gamma 90.00
loop_
_space_group_symop_operation_xyz
'x,y,z'
'-x,-y,-z'
'-x,y,-z'
'x,-y,z'
'x+1/2,y+1/2,z'
'-x+1/2,-y+1/2,-z'
'-x+1/2,y+1/2,-z'
'x+1/2,-y+1/2,z'
loop_
_atom_site_label
_atom_site_fract_x
_atom_site_fract_y
_atom_site_fract_z
La1 0.0000 0.0000 0.0000
La2 0.1482 0.0000 0.6485
Tb1 0.2468 0.5000 0.7462
Y1 0.0000 0.5000 0.5000
Y2 0.1243 0.5000 0.1238
# - Fermi-level density of states (states/eV per cell) = 31.46
# - crystal system = monoclinic
# - energy above the most stable polymorph in this dataset (meV per atom) = 82.1
# - energy relative to the elements (eV/atom) = 0.113
# - calculated volume (Å³/atom) = 34.2
# - magnetization (μB/f.u.) = 0.000


Record 3
# La8Tb2Y PBE relaxed
data_La8Tb2Y
_chemical_formula_sum 'La16 Tb4 Y2'
_space_group_name_H-M_alt 'C 1 2/m 1'
_space_group_IT_number 12
_cell_length_a 18.7481
_cell_length_b 5.2355
_cell_length_c 8.2422
_cell_angle_alpha 90.00
_cell_angle_beta 105.14
_cell_angle_gamma 90.00
loop_
_space_group_symop_operation_xyz
'x,y,z'
'-x,-y,-z'
'-x,y,-z'
'x,-y,z'
'x+1/2,y+1/2,z'
'-x+1/2,-y+1/2,-z'
'-x+1/2,y+1/2,-z'
'x+1/2,-y+1/2,z'
loop_
_atom_site_label
_atom_site_fract_x
_atom_site_fract_y
_atom_site_fract_z
La1 0.0470 0.0000 0.2263
La2 0.0917 0.5000 0.9545
La3 0.1377 0.0000 0.6857
La4 0.1818 0.5000 0.4120
Tb1 0.2266 0.0000 0.1346
Y1 0.0000 0.5000 0.5000
# - Fermi-level density of states (states/eV per cell) = 38.95
# - crystal system = monoclinic
# - energy above the most stable polymorph in this dataset (meV per atom) = 0.0
# - energy relative to the elements (eV/atom) = 0.019
# - calculated volume (Å³/atom) = 35.5
# - magnetization (μB/f.u.) = 0.000


Record 4
# La2Tb3Y PBE relaxed
data_La2Tb3Y
_chemical_formula_sum 'La8 Tb12 Y4'
_space_group_name_H-M_alt 'C 1 2/c 1'
_space_group_IT_number 15
_cell_length_a 10.3824
_cell_length_b 11.5923
_cell_length_c 6.7688
_cell_angle_alpha 90.00
_cell_angle_beta 91.03
_cell_angle_gamma 90.00
loop_
_space_group_symop_operation_xyz
'x,y,z'
'-x,-y,-z'
'-x,y,-z+1/2'
'x,-y,z+1/2'
'x+1/2,y+1/2,z'
'-x+1/2,-y+1/2,-z'
'-x+1/2,y+1/2,-z+1/2'
'x+1/2,-y+1/2,z+1/2'
loop_
_atom_site_label
_atom_site_fract_x
_atom_site_fract_y
_atom_site_fract_z
La1 0.1698 0.2418 0.2450
Tb1 0.0000 0.2678 0.7500
Tb2 0.1658 0.4982 0.4976
Y1 0.0000 0.0000 0.0000
# - Fermi-level density of states (states/eV per cell) = 40.79
# - crystal system = monoclinic
# - energy above the most stable polymorph in this dataset (meV per atom) = 0.0
# - energy relative to the elements (eV/atom) = 0.181
# - calculated volume (Å³/atom) = 33.9
# - magnetization (μB/f.u.) = 0.000


Record 5
# La3Tb5Y2 PBE relaxed
data_La3Tb5Y2
_chemical_formula_sum 'La12 Tb20 Y8'
_space_group_name_H-M_alt 'C 1 2/c 1'
_space_group_IT_number 15
_cell_length_a 10.8816
_cell_length_b 15.9583
_cell_length_c 9.5477
_cell_angle_alpha 90.00
_cell_angle_beta 124.47
_cell_angle_gamma 90.00
loop_
_space_group_symop_operation_xyz
'x,y,z'
'-x,-y,-z'
'-x,y,-z+1/2'
'x,-y,z+1/2'
'x+1/2,y+1/2,z'
'-x+1/2,-y+1/2,-z'
'-x+1/2,y+1/2,-z+1/2'
'x+1/2,-y+1/2,z+1/2'
loop_
_atom_site_label
_atom_site_fract_x
_atom_site_fract_y
_atom_site_fract_z
La1 0.0000 0.2316 0.2500
La2 0.1446 0.1263 0.0480
Tb1 0.0000 0.0228 0.2500
Tb2 0.0000 0.2721 0.7500
Tb3 0.0000 0.4699 0.7500
Tb4 0.2356 0.3854 0.2248
Y1 0.1516 0.3823 0.5447
# - Fermi-level density of states (states/eV per cell) = 69.81
# - crystal system = monoclinic
# - energy relative to the elements (eV/atom) = 0.189
# - calculated volume (Å³/atom) = 34.2
# - magnetization (μB/f.u.) = 0.000


Record 6
# LaTb3Y5 PBE relaxed
data_LaTb3Y5
_chemical_formula_sum 'La4 Tb12 Y20'
_space_group_name_H-M_alt 'I 4/m c m'
_space_group_IT_number 140
_space_group_name_Hall '-I 4 2c'
_cell_length_a 8.6944
_cell_length_b 8.6944
_cell_length_c 15.5915
_cell_angle_alpha 90.00
_cell_angle_beta 90.00
_cell_angle_gamma 90.00
loop_
_atom_site_label
_atom_site_fract_x
_atom_site_fract_y
_atom_site_fract_z
La1 0.0000 0.5000 0.2500
Tb1 0.0000 0.0000 0.2500
Tb2 0.1187 0.3813 0.0000
Y1 0.0000 0.0000 0.0000
Y2 0.2017 0.2983 0.3644
# - Fermi-level density of states (states/eV per cell) = 42.94
# - crystal system = tetragonal
# - energy above the most stable polymorph in this dataset (meV per atom) = 0.0
# - energy relative to the elements (eV/atom) = 0.252
# - calculated volume (Å³/atom) = 32.7
# - magnetization (μB/f.u.) = 0.000


> Among the records above, which one has the highest Fermi-level density of states?

La3Tb5Y2


> Among the records above, which one has the lowest Fermi-level density of states?

La3Tb2Y3